Entry 1:
A relaxed Ac3GeBi crystal. Source: Alexandria via LeMat-Bulk, functional GGA-PBE.

Cell: 9.160 4.745 17.461 Å, 90.00 90.00 90.00°
Fractional positions:
Ac: 0.011 0.250 0.104
Ac: 0.149 0.250 0.542
Ac: 0.161 0.750 0.288
Ac: 0.339 0.250 0.788
Ac: 0.351 0.750 0.042
Ac: 0.489 0.750 0.604
Ac: 0.511 0.250 0.396
Ac: 0.649 0.250 0.958
Ac: 0.661 0.750 0.212
Ac: 0.839 0.250 0.712
Ac: 0.851 0.750 0.458
Ac: 0.989 0.750 0.896
Ge: 0.207 0.250 0.950
Ge: 0.293 0.750 0.450
Ge: 0.707 0.250 0.550
Ge: 0.793 0.750 0.050
Bi: 0.124 0.750 0.697
Bi: 0.376 0.250 0.197
Bi: 0.624 0.750 0.803
Bi: 0.876 0.250 0.303

Output
SG: No. 62


Entry 2:
A relaxed AcGeBi crystal. Source: Alexandria via LeMat-Bulk, functional GGA-PBE.

Cell: 4.706 4.486 9.288 Å, 90.00 98.71 90.00°
Fractional positions:
Ac: 0.059 0.250 0.217
Ac: 0.941 0.750 0.783
Ge: 0.396 0.250 0.941
Ge: 0.604 0.750 0.059
Bi: 0.417 0.250 0.634
Bi: 0.583 0.750 0.366

Output
SG: No. 11


| no. | formation energy from the elements (kcal/mol of atoms) | DOS(E_F) (states/eV/atom) |
| --- | --- | --- |
| 1 | -16.4 | 0.998 |
| 2 | -14.1 | 0.198 |